Compound: Sr3Hg9Bi2
Source: the Alexandria database
Functional: GGA-PBE
Structure: optimized geometry

* crystal system: orthorhombic
* E_tot: -0.0533 Ha/atom
* calculated volume: 29.9 Å³/atom
* ΔH_f (0 K): -0.34 eV/atom

Cell lengths 9.8520, 9.8520, 9.8520 Å; angles 151.19, 112.57, 74.93 degrees
Last column: nearest neighbours and their distance in Å.
Sites, in units of the cell vectors:
Sr: 0.0000 0.0000 0.0000  4 Bi 3.67, 12 Hg 3.67-4.09
Sr: 0.3288 0.3288 0.0000  10 Hg 3.51-3.63, 2 Bi 3.83
Sr: 0.6712 0.6712 0.0000  10 Hg 3.51-3.63, 2 Bi 3.83
Hg: 0.0570 0.6885 0.3685  4 Hg 2.88-3.05, 1 Bi 3.22
Hg: 0.1447 0.8678 0.2770  4 Hg 2.98-3.20, 2 Bi 3.22
Hg: 0.3200 0.6885 0.6315  4 Hg 2.88-3.05, 1 Bi 3.22
Hg: 0.4092 0.1322 0.2770  4 Hg 2.98-3.20, 2 Bi 3.22
Hg: 0.5000 0.0000 0.5000  4 Hg 3.20
Hg: 0.5908 0.8678 0.7230  4 Hg 2.98-3.20, 2 Bi 3.22
Hg: 0.6800 0.3115 0.3685  4 Hg 2.88-3.05, 1 Bi 3.22
Hg: 0.8553 0.1322 0.7230  4 Hg 2.98-3.20, 2 Bi 3.22
Hg: 0.9430 0.3115 0.6315  4 Hg 2.88-3.05, 1 Bi 3.22
Bi: 0.2494 0.5000 0.7494  6 Hg 3.22
Bi: 0.7506 0.5000 0.2506  6 Hg 3.22

Compound: SrHg2Bi
Source: the Alexandria database
Functional: GGA-PBE
Structure: optimized geometry

* crystal system: trigonal
* E_tot: -0.0689 Ha/atom
* calculated volume: 34.2 Å³/atom
* ΔH_f (0 K): -0.33 eV/atom

Cell lengths 4.9813, 4.9813, 19.0721 Å; angles 90.00, 90.00, 120.00 degrees
Last column: nearest neighbours and their distance in Å.
Sites, in units of the cell vectors:
Sr: 0.0000 0.0000 0.0000  6 Hg 3.26-3.35
Sr: 0.3333 0.6667 0.6667  6 Hg 3.26-3.35
Sr: 0.6667 0.3333 0.3333  6 Hg 3.26-3.35
Hg: 0.0000 0.0000 0.4141  1 Hg 3.09, 3 Bi 3.10, 3 Sr 3.26
Hg: 0.0000 0.0000 0.5763  1 Hg 3.09, 3 Sr 3.35
Hg: 0.3333 0.6667 0.0808  1 Hg 3.09, 3 Bi 3.10, 3 Sr 3.26
Hg: 0.3333 0.6667 0.2430  1 Hg 3.09, 3 Sr 3.35
Hg: 0.6667 0.3333 0.7474  1 Hg 3.09, 3 Bi 3.10, 3 Sr 3.26
Hg: 0.6667 0.3333 0.9096  1 Hg 3.09, 3 Sr 3.35
Bi: 0.0000 0.0000 0.8080  6 Hg 3.10-3.47
Bi: 0.3333 0.6667 0.4747  6 Hg 3.10-3.47
Bi: 0.6667 0.3333 0.1414  6 Hg 3.10-3.47

Compound: SrHgBi3
Source: the Alexandria database
Functional: GGA-PBE
Structure: optimized geometry

* crystal system: tetragonal
* energy above the lowest structure with this stoichiometry: 56 meV per atom
* E_tot: -0.1034 Ha/atom
* calculated volume: 45.9 Å³/atom
* ΔH_f (0 K): -0.09 eV/atom

Cell lengths 11.9380, 11.9380, 11.9380 Å; angles 148.67, 148.67, 44.90 degrees
Last column: nearest neighbours and their distance in Å.
Sites, in units of the cell vectors:
Sr: 0.0885 0.0885 0.0000  8 Bi 3.66-3.86, 1 Sr 3.90
Sr: 0.9115 0.9115 0.0000  8 Bi 3.66-3.86, 1 Sr 3.90
Hg: 0.2500 0.7500 0.5000  4 Bi 3.33
Hg: 0.5000 0.5000 0.0000  8 Bi 3.07-3.23
Bi: 0.3674 0.6181 0.7493  2 Hg 3.07-3.33, 3 Bi 3.20-3.23
Bi: 0.3819 0.1312 0.7493  2 Hg 3.07-3.33, 3 Bi 3.20-3.23
Bi: 0.3819 0.6326 0.2507  2 Hg 3.07-3.33, 3 Bi 3.20-3.23
Bi: 0.5075 0.0075 0.5000  2 Bi 3.20, 2 Hg 3.23
Bi: 0.8688 0.6181 0.2507  2 Hg 3.07-3.33, 3 Bi 3.20-3.23
Bi: 0.9925 0.4925 0.5000  2 Bi 3.20, 2 Hg 3.23

Compound: Sr2HgBi
Source: the Alexandria database
Functional: GGA-PBE
Structure: optimized geometry

* crystal system: tetragonal
* energy above the lowest structure with this stoichiometry: 0 meV per atom
* E_tot: -0.0961 Ha/atom
* calculated volume: 34.1 Å³/atom
* ΔH_f (0 K): -0.73 eV/atom

Cell lengths 5.5270, 5.5270, 4.4648 Å; angles 90.00, 90.00, 90.00 degrees
Last column: nearest neighbours and their distance in Å.
Sites, in units of the cell vectors:
Sr: 0.0000 0.5000 0.0000  4 Hg 3.55, 4 Bi 3.55, 4 Sr 3.91
Sr: 0.5000 0.0000 0.0000  4 Hg 3.55, 4 Bi 3.55, 4 Sr 3.91
Hg: 0.0000 0.0000 0.5000  8 Sr 3.55, 4 Bi 3.91
Bi: 0.5000 0.5000 0.5000  8 Sr 3.55, 4 Hg 3.91

Repeat the second record exactly.
Compound: SrHg2Bi
Source: the Alexandria database
Functional: GGA-PBE
Structure: optimized geometry

* crystal system: trigonal
* E_tot: -0.0689 Ha/atom
* calculated volume: 34.2 Å³/atom
* ΔH_f (0 K): -0.33 eV/atom

Cell lengths 4.9813, 4.9813, 19.0721 Å; angles 90.00, 90.00, 120.00 degrees
Last column: nearest neighbours and their distance in Å.
Sites, in units of the cell vectors:
Sr: 0.0000 0.0000 0.0000  6 Hg 3.26-3.35
Sr: 0.3333 0.6667 0.6667  6 Hg 3.26-3.35
Sr: 0.6667 0.3333 0.3333  6 Hg 3.26-3.35
Hg: 0.0000 0.0000 0.4141  1 Hg 3.09, 3 Bi 3.10, 3 Sr 3.26
Hg: 0.0000 0.0000 0.5763  1 Hg 3.09, 3 Sr 3.35
Hg: 0.3333 0.6667 0.0808  1 Hg 3.09, 3 Bi 3.10, 3 Sr 3.26
Hg: 0.3333 0.6667 0.2430  1 Hg 3.09, 3 Sr 3.35
Hg: 0.6667 0.3333 0.7474  1 Hg 3.09, 3 Bi 3.10, 3 Sr 3.26
Hg: 0.6667 0.3333 0.9096  1 Hg 3.09, 3 Sr 3.35
Bi: 0.0000 0.0000 0.8080  6 Hg 3.10-3.47
Bi: 0.3333 0.6667 0.4747  6 Hg 3.10-3.47
Bi: 0.6667 0.3333 0.1414  6 Hg 3.10-3.47

Which of these has the highest ΔH_f (0 K)?
SrHgBi3